(1)
## ScMnCBr2 (PBE-GGA)

Data for a relaxed structure of ScMnCBr2.

formation energy from raw total energies	4.152	eV per formula unit
space-group type	P4/mmm

Cell: 5.0669 5.0669 4.3219 Å, 90.00 90.00 90.00°
Fractional coordinates of all 5 atoms:
Sc 0.0000 0.0000 0.0000
Mn 0.5000 0.5000 0.0000
C 0.0000 0.0000 0.5000
Br 0.0000 0.5000 0.5000
Br 0.5000 0.0000 0.5000


(2)
## ScCrCl (PBE-GGA)

Data for a relaxed structure of ScCrCl.

formation energy from raw total energies	0.086	eV per formula unit
space-group type	P3m1

Cell: 4.5228 4.5228 3.3683 Å, 90.00 90.00 120.00°
Fractional coordinates of all 3 atoms:
Sc 0.0000 0.0000 0.0000
Cr 0.3333 0.6667 0.4773
Cl 0.6667 0.3333 0.0865


(3)
## Na2ZrBiO6 (PBE-GGA)

Data for a relaxed structure of Na2ZrBiO6.

formation energy from raw total energies	-17.073	eV per formula unit
space-group type	P2_1/c

Cell: 5.7409 5.8526 9.9849 Å, 90.00 125.00 90.00°
Fractional coordinates of all 20 atoms:
Na 0.2425 0.0326 0.2499
Na 0.2425 0.4674 0.7499
Na 0.7575 0.5326 0.2501
Na 0.7575 0.9674 0.7501
Zr 0.0000 0.0000 0.5000
Zr 0.0000 0.5000 0.0000
Bi 0.5000 0.0000 0.0000
Bi 0.5000 0.5000 0.5000
O 0.1558 0.2075 0.9521
O 0.1558 0.2925 0.4521
O 0.2482 0.7046 0.9534
O 0.2482 0.7954 0.4534
O 0.3406 0.0286 0.7490
O 0.3406 0.4714 0.2490
O 0.6594 0.5286 0.7510
O 0.6594 0.9714 0.2510
O 0.7518 0.2046 0.5466
O 0.7518 0.2954 0.0466
O 0.8442 0.7075 0.5479
O 0.8442 0.7925 0.0479


(4)
## ZnSiRh2 (PBE-GGA)

Data for a relaxed structure of ZnSiRh2.

formation energy from raw total energies	-1.594	eV per formula unit
space-group type	Pmm2

Cell: 2.8528 3.8191 5.1165 Å, 90.00 90.00 90.00°
Fractional coordinates of all 4 atoms:
Zn 0.0000 0.0000 0.0000
Si 0.5000 0.5000 0.6764
Rh 0.0000 0.0000 0.5075
Rh 0.5000 0.5000 0.1631